{"formula": "CsRbCaH4", "functional": "PBE", "state": "relaxed", "cell": [[-2.266, 2.266, 7.561], [2.266, -2.266, 7.561], [2.266, 2.266, -7.561]], "species": ["Cs", "Rb", "Ca", "H", "H", "H", "H"], "fractional_positions": [[0.000, 0.000, 0.000], [0.705, 0.705, 0.000], [0.349, 0.349, 0.000], [0.199, 0.199, 0.000], [0.347, 0.847, 0.500], [0.503, 0.503, 0.000], [0.847, 0.347, 0.500]], "dos_at_fermi_per_ev_fu": 0.00, "crystal_system": "tetragonal", "energy_ev_per_atom": -2.804, "magmom_total_mub_per_fu": 0.000, "vol_a3_per_atom": 22.19}

=====

{"formula": "Y2CdNiP", "functional": "PBE", "state": "relaxed", "cell": [[5.208, 0.000, 0.000], [0.000, 5.208, 0.000], [0.000, 0.000, 4.719]], "species": ["Y", "Y", "Cd", "Ni", "P"], "fractional_positions": [[0.000, 0.500, 0.000], [0.500, 0.000, 0.000], [0.000, 0.000, 0.500], [0.500, 0.500, 0.500], [0.000, 0.000, 0.000]], "dos_at_fermi_per_ev_fu": 3.80, "e_form_ev_per_atom": 0.002, "crystal_system": "tetragonal", "magmom_total_mub_per_fu": 0.000, "vol_a3_per_atom": 25.60}

=====

{"formula": "Mg2SnPt", "functional": "PBE", "state": "relaxed", "cell": [[2.296, 1.326, 4.546], [-2.296, 1.326, 4.546], [0.000, -2.651, 4.546]], "species": ["Mg", "Mg", "Sn", "Pt"], "fractional_positions": [[0.000, 0.000, 0.000], [0.229, 0.229, 0.229], [0.783, 0.783, 0.783], [0.583, 0.583, 0.583]], "dos_at_fermi_per_ev_fu": 1.28, "e_form_ev_per_atom": -0.427, "crystal_system": "trigonal", "magmom_total_mub_per_fu": 0.000, "vol_a3_per_atom": 20.75}

=====

{"formula": "NpBe2IrO8", "functional": "PBE", "state": "relaxed", "cell": [[5.201, 0.000, 0.000], [-2.601, 4.505, 0.000], [0.000, 0.000, 5.932]], "species": ["Np", "Be", "Be", "Ir", "O", "O", "O", "O", "O", "O", "O", "O"], "fractional_positions": [[0.000, 0.000, 0.000], [0.333, 0.667, 0.203], [0.667, 0.333, 0.797], [0.000, 0.000, 0.500], [0.161, 0.322, 0.275], [0.161, 0.839, 0.275], [0.322, 0.161, 0.725], [0.333, 0.667, 0.936], [0.667, 0.333, 0.064], [0.678, 0.839, 0.275], [0.839, 0.161, 0.725], [0.839, 0.678, 0.725]], "e_form_raw_ev_per_atom": -1.5233, "dos_at_fermi_per_ev_fu": 12.66, "crystal_system": "trigonal", "magmom_total_mub_per_fu": 1.507, "vol_a3_per_atom": 11.58}